(1)
VASP calculation (PBE-GGA) on crystalline Ag4Bi3S8 at its relaxed geometry.

Values from the calculation:
ΔE_f (raw) = -83 meV/atom
space-group type = C2/m
total magnetic moment = 0.00 μB per atom

Lattice parameters (Å, degrees): 7.817 7.817 7.921 120.27 120.27 88.69
Fractional positions:
Ag (0.000, 0.000, 0.000)
Ag (0.000, 0.000, 0.500)
Ag (0.000, 0.500, 0.000)
Ag (0.500, 0.000, 0.000)
Bi (0.000, 0.500, 0.500)
Bi (0.500, 0.000, 0.500)
Bi (0.500, 0.500, 0.500)
S (0.214, 0.214, 0.993)
S (0.222, 0.778, 0.000)
S (0.243, 0.757, 0.500)
S (0.297, 0.297, 0.590)
S (0.703, 0.703, 0.410)
S (0.757, 0.243, 0.500)
S (0.778, 0.222, 0.000)
S (0.786, 0.786, 0.007)

---

(2)
VASP calculation (PBE-GGA) on crystalline Ac6CI3N2 at its relaxed geometry.

Values from the calculation:
ΔE_f (raw) = -928 meV/atom
space-group type = C2/m
total magnetic moment = 0.00 μB per atom

Lattice parameters (Å, degrees): 6.943 6.943 8.652 97.69 97.69 119.99
Fractional positions:
Ac (0.106, 0.442, 0.825)
Ac (0.222, 0.222, 0.175)
Ac (0.442, 0.106, 0.825)
Ac (0.558, 0.894, 0.175)
Ac (0.778, 0.778, 0.825)
Ac (0.894, 0.558, 0.175)
C (0.500, 0.500, 0.000)
I (0.000, 0.000, 0.500)
I (0.335, 0.665, 0.500)
I (0.665, 0.335, 0.500)
N (0.167, 0.833, 0.000)
N (0.833, 0.167, 0.000)